[1]
# Rb2Zn6Sn

Rb2Zn6Sn after structural relaxation (PBE, OQMD via LeMat-Bulk).

## Properties
DFT total energy (eV per atom): -1.22
Space group: P-62m (189)

a b c (Å): 9.506 9.506 3.038
angles (deg): 90.00 90.00 120.00
Fractional coordinates of all 9 atoms:
Rb1 0.333 0.667 0.000
Rb2 0.667 0.333 0.000
Zn1 0.000 0.268 0.000
Zn2 0.000 0.703 0.500
Zn3 0.268 0.000 0.000
Zn4 0.297 0.297 0.500
Zn5 0.703 0.000 0.500
Zn6 0.732 0.732 0.000
Sn1 0.000 0.000 0.500



[2]
# TbScAsO

TbScAsO after structural relaxation (PBE, OQMD via LeMat-Bulk).

## Properties
Total magnetic moment (μB per cell): 0.0
DFT total energy (eV per atom): -6.75
Space group: P4/nmm (129)

a b c (Å): 4.242 4.242 8.515
angles (deg): 90.00 90.00 90.00
Fractional coordinates of all 8 atoms:
Tb1 0.250 0.750 0.000
Tb2 0.750 0.250 0.000
Sc1 0.250 0.250 0.423
Sc2 0.750 0.750 0.577
As1 0.250 0.250 0.780
As2 0.750 0.750 0.220
O1 0.250 0.750 0.500
O2 0.750 0.250 0.500



[3]
# Nd2Y2NCl5

Nd2Y2NCl5 after structural relaxation (PBE, OQMD via LeMat-Bulk).

## Properties
Total magnetic moment (μB per cell): 0.0
DFT total energy (eV per atom): -5.87
Space group: C2/m (12)

a b c (Å): 8.785 8.785 7.797
angles (deg): 104.68 104.68 24.32
Fractional coordinates of all 10 atoms:
Nd1 0.147 0.147 0.087
Nd2 0.853 0.853 0.913
Y1 0.499 0.499 0.208
Y2 0.501 0.501 0.792
N1 0.000 0.000 0.000
Cl1 0.000 0.000 0.500
Cl2 0.333 0.333 0.180
Cl3 0.340 0.340 0.636
Cl4 0.660 0.660 0.364
Cl5 0.667 0.667 0.820



[4]
# AlB4W

AlB4W after structural relaxation (PBE, OQMD via LeMat-Bulk).

## Properties
Total magnetic moment (μB per cell): 0.0
DFT total energy (eV per atom): -7.19
Space group: Pbam (55)

a b c (Å): 6.119 10.582 3.565
angles (deg): 90.00 90.00 90.00
Fractional coordinates of all 24 atoms:
Al1 0.085 0.142 0.000
Al2 0.415 0.642 0.000
Al3 0.585 0.358 0.000
Al4 0.915 0.858 0.000
B1 0.030 0.291 0.500
B2 0.104 0.562 0.500
B3 0.135 0.982 0.500
B4 0.177 0.818 0.500
B5 0.323 0.318 0.500
B6 0.365 0.482 0.500
B7 0.396 0.062 0.500
B8 0.470 0.791 0.500
B9 0.530 0.209 0.500
B10 0.604 0.938 0.500
B11 0.635 0.518 0.500
B12 0.677 0.682 0.500
B13 0.823 0.182 0.500
B14 0.865 0.018 0.500
B15 0.896 0.438 0.500
B16 0.970 0.709 0.500
W1 0.149 0.416 0.000
W2 0.351 0.916 0.000
W3 0.649 0.084 0.000
W4 0.851 0.584 0.000



[5]
# Ba2HgSeO6

Ba2HgSeO6 after structural relaxation (PBE, OQMD via LeMat-Bulk).

## Properties
DFT total energy (eV per atom): -5.20
Space group: P-1 (2)

a b c (Å): 5.814 5.861 5.861
angles (deg): 92.29 117.80 119.45
Fractional coordinates of all 10 atoms:
Ba1 0.002 0.250 0.251
Ba2 0.998 0.750 0.749
Hg1 0.500 0.000 0.500
Se1 0.500 0.500 0.000
O1 0.067 0.314 0.810
O2 0.443 0.269 0.718
O3 0.483 0.254 0.185
O4 0.517 0.746 0.815
O5 0.557 0.731 0.282
O6 0.933 0.686 0.190



[6]
# Tb2ErGa3Si2Ni

Tb2ErGa3Si2Ni after structural relaxation (PBE, OQMD via LeMat-Bulk).

## Properties
Total magnetic moment (μB per cell): 0.0
DFT total energy (eV per atom): -5.06
Space group: Amm2 (38)

a b c (Å): 4.149 6.866 6.866
angles (deg): 119.82 90.00 90.00
Fractional coordinates of all 9 atoms:
Tb1 0.000 0.202 0.798
Tb2 0.000 0.798 0.202
Er1 0.000 0.605 0.605
Ga1 0.500 0.204 0.439
Ga2 0.500 0.439 0.204
Ga3 0.500 0.966 0.966
Si1 0.500 0.537 0.866
Si2 0.500 0.866 0.537
Ni1 0.000 0.205 0.205



[7]
# MgGaFeNi

MgGaFeNi after structural relaxation (PBE, OQMD via LeMat-Bulk).

## Properties
Total magnetic moment (μB per cell): 2.8
DFT total energy (eV per atom): -4.64
Space group: F-43m (216)

a b c (Å): 4.253 4.253 4.253
angles (deg): 60.00 60.00 60.00
Fractional coordinates of all 4 atoms:
Mg1 0.000 0.000 0.000
Ga1 0.750 0.750 0.750
Fe1 0.500 0.500 0.500
Ni1 0.250 0.250 0.250



[8]
# K2Rb2ZnSb2

K2Rb2ZnSb2 after structural relaxation (PBE, OQMD via LeMat-Bulk).

## Properties
DFT total energy (eV per atom): -2.38
Space group: R-3m (166)

a b c (Å): 10.587 10.587 10.587
angles (deg): 33.63 33.63 33.63
Fractional coordinates of all 7 atoms:
K1 0.120 0.120 0.120
K2 0.880 0.880 0.880
Rb1 0.291 0.291 0.291
Rb2 0.709 0.709 0.709
Zn1 0.500 0.500 0.500
Sb1 0.416 0.416 0.416
Sb2 0.584 0.584 0.584



[9]
# DyReAsO

DyReAsO after structural relaxation (PBE, OQMD via LeMat-Bulk).

## Properties
Total magnetic moment (μB per cell): 0.0
DFT total energy (eV per atom): -7.77
Space group: Pmc2_1 (26)

a b c (Å): 4.168 4.563 6.824
angles (deg): 90.00 90.00 90.00
Fractional coordinates of all 8 atoms:
Dy1 0.000 0.216 0.000
Dy2 0.000 0.784 0.500
Re1 0.500 0.326 0.338
Re2 0.500 0.674 0.838
As1 0.500 0.176 0.687
As2 0.500 0.824 0.187
O1 0.000 0.328 0.336
O2 0.000 0.672 0.836



[10]
# B4MoOs

B4MoOs after structural relaxation (PBE, OQMD via LeMat-Bulk).

## Properties
Total magnetic moment (μB per cell): 0.0
DFT total energy (eV per atom): -8.01
Space group: P6/mmm (191)

a b c (Å): 2.976 2.976 6.926
angles (deg): 90.00 90.00 120.00
Fractional coordinates of all 6 atoms:
B1 0.333 0.667 0.247
B2 0.333 0.667 0.753
B3 0.667 0.333 0.247
B4 0.667 0.333 0.753
Mo1 0.000 0.000 0.000
Os1 0.000 0.000 0.500



[11]
# Y4SbAuN2

Y4SbAuN2 after structural relaxation (PBE, OQMD via LeMat-Bulk).

## Properties
Total magnetic moment (μB per cell): 0.0
DFT total energy (eV per atom): -7.41
Space group: P-6m2 (187)

a b c (Å): 3.574 3.574 14.622
angles (deg): 90.00 90.00 120.00
Fractional coordinates of all 8 atoms:
Y1 0.000 0.000 0.150
Y2 0.000 0.000 0.850
Y3 0.667 0.333 0.334
Y4 0.667 0.333 0.666
Sb1 0.000 0.000 0.500
Au1 0.667 0.333 0.000
N1 0.333 0.667 0.250
N2 0.333 0.667 0.750



[12]
# GdGeHO4

GdGeHO4 after structural relaxation (PBE, OQMD via LeMat-Bulk).

## Properties
Total magnetic moment (μB per cell): 0.0
DFT total energy (eV per atom): -6.86
Space group: P2_1/c (14)

a b c (Å): 7.853 6.778 6.915
angles (deg): 90.00 112.33 90.00
Fractional coordinates of all 28 atoms:
Gd1 0.208 0.140 0.104
Gd2 0.208 0.360 0.604
Gd3 0.792 0.640 0.396
Gd4 0.792 0.860 0.896
Ge1 0.242 0.607 0.128
Ge2 0.242 0.893 0.628
Ge3 0.758 0.107 0.372
Ge4 0.758 0.393 0.872
H1 0.465 0.685 0.884
H2 0.465 0.815 0.384
H3 0.535 0.185 0.616
H4 0.535 0.315 0.116
O1 0.103 0.686 0.550
O2 0.103 0.814 0.050
O3 0.183 0.074 0.771
O4 0.183 0.426 0.271
O5 0.284 0.041 0.442
O6 0.284 0.459 0.942
O7 0.469 0.704 0.292
O8 0.469 0.796 0.792
O9 0.531 0.204 0.208
O10 0.531 0.296 0.708
O11 0.716 0.541 0.058
O12 0.716 0.959 0.558
O13 0.817 0.574 0.729
O14 0.817 0.926 0.229
O15 0.897 0.186 0.950
O16 0.897 0.314 0.450



[13]
# Co3N

Co3N after structural relaxation (PBE, OQMD via LeMat-Bulk).

## Properties
Total magnetic moment (μB per cell): 6.6
DFT total energy (eV per atom): -6.99
Space group: P6_3/mmc (194)

a b c (Å): 6.155 6.155 2.504
angles (deg): 90.00 90.00 120.00
Fractional coordinates of all 8 atoms:
Co1 0.195 0.391 0.250
Co2 0.195 0.805 0.250
Co3 0.391 0.195 0.750
Co4 0.609 0.805 0.250
Co5 0.805 0.195 0.750
Co6 0.805 0.609 0.750
N1 0.333 0.667 0.750
N2 0.667 0.333 0.250



[14]
# BMoAs2

BMoAs2 after structural relaxation (PBE, OQMD via LeMat-Bulk).

## Properties
Total magnetic moment (μB per cell): 0.0
DFT total energy (eV per atom): -5.69
Space group: F-43m (216)

a b c (Å): 4.352 4.352 4.352
angles (deg): 60.00 60.00 60.00
Fractional coordinates of all 4 atoms:
B1 0.000 0.000 0.000
Mo1 0.250 0.250 0.250
As1 0.500 0.500 0.500
As2 0.750 0.750 0.750



[15]
# TlBAu

TlBAu after structural relaxation (PBE, OQMD via LeMat-Bulk).

## Properties
DFT total energy (eV per atom): -2.96
Space group: F-43m (216)

a b c (Å): 4.439 4.439 4.439
angles (deg): 60.00 60.00 60.00
Fractional coordinates of all 3 atoms:
Tl1 0.000 0.000 0.000
B1 0.500 0.500 0.500
Au1 0.750 0.750 0.750



[16]
# LaNb3C

LaNb3C after structural relaxation (PBE, OQMD via LeMat-Bulk).

## Properties
Total magnetic moment (μB per cell): 0.0
DFT total energy (eV per atom): -8.66
Space group: Pm-3m (221)

a b c (Å): 4.520 4.520 4.520
angles (deg): 90.00 90.00 90.00
Fractional coordinates of all 5 atoms:
La1 0.000 0.000 0.000
Nb1 0.000 0.500 0.500
Nb2 0.500 0.000 0.500
Nb3 0.500 0.500 0.000
C1 0.500 0.500 0.500



[17]
# Gd3Se4O12F

Gd3Se4O12F after structural relaxation (PBE, OQMD via LeMat-Bulk).

## Properties
Total magnetic moment (μB per cell): 0.0
DFT total energy (eV per atom): -6.50
Space group: P6_3mc (186)

a b c (Å): 10.333 10.333 6.839
angles (deg): 90.00 90.00 120.00
Fractional coordinates of all 40 atoms:
Gd1 0.075 0.538 0.000
Gd2 0.462 0.538 0.000
Gd3 0.462 0.925 0.000
Gd4 0.538 0.075 0.500
Gd5 0.538 0.462 0.500
Gd6 0.925 0.462 0.500
Se1 0.152 0.303 0.231
Se2 0.152 0.848 0.231
Se3 0.303 0.152 0.731
Se4 0.333 0.667 0.558
Se5 0.667 0.333 0.058
Se6 0.697 0.848 0.231
Se7 0.848 0.152 0.731
Se8 0.848 0.697 0.731
O1 0.080 0.414 0.303
O2 0.080 0.666 0.303
O3 0.162 0.581 0.674
O4 0.179 0.357 0.990
O5 0.179 0.821 0.990
O6 0.334 0.414 0.303
O7 0.334 0.920 0.303
O8 0.357 0.179 0.490
O9 0.414 0.080 0.803
O10 0.414 0.334 0.803
O11 0.419 0.581 0.674
O12 0.419 0.838 0.674
O13 0.581 0.162 0.174
O14 0.581 0.419 0.174
O15 0.586 0.666 0.303
O16 0.586 0.920 0.303
O17 0.643 0.821 0.990
O18 0.666 0.080 0.803
O19 0.666 0.586 0.803
O20 0.821 0.179 0.490
O21 0.821 0.643 0.490
O22 0.838 0.419 0.174
O23 0.920 0.334 0.803
O24 0.920 0.586 0.803
F1 0.333 0.667 0.050
F2 0.667 0.333 0.550



[18]
# Sm3SiAgS7

Sm3SiAgS7 after structural relaxation (PBE, OQMD via LeMat-Bulk).

## Properties
Total magnetic moment (μB per cell): 0.0
DFT total energy (eV per atom): -5.77
Space group: P6_3 (173)

a b c (Å): 10.205 10.205 5.727
angles (deg): 90.00 90.00 120.00
Fractional coordinates of all 24 atoms:
Sm1 0.123 0.360 0.000
Sm2 0.237 0.877 0.000
Sm3 0.360 0.237 0.500
Sm4 0.640 0.763 0.000
Sm5 0.763 0.123 0.500
Sm6 0.877 0.640 0.500
Si1 0.333 0.667 0.411
Si2 0.667 0.333 0.911
Ag1 0.000 0.000 0.049
Ag2 0.000 0.000 0.549
S1 0.092 0.271 0.516
S2 0.113 0.591 0.262
S3 0.179 0.908 0.516
S4 0.271 0.179 0.016
S5 0.333 0.667 0.780
S6 0.409 0.523 0.262
S7 0.477 0.887 0.262
S8 0.523 0.113 0.762
S9 0.591 0.477 0.762
S10 0.667 0.333 0.280
S11 0.729 0.821 0.516
S12 0.821 0.092 0.016
S13 0.887 0.409 0.762
S14 0.908 0.729 0.016



[19]
# Y2Zn3W4C3

Y2Zn3W4C3 after structural relaxation (PBE, OQMD via LeMat-Bulk).

## Properties
Total magnetic moment (μB per cell): 0.0
DFT total energy (eV per atom): -8.24
Space group: C2/c (15)

a b c (Å): 5.499 5.499 14.052
angles (deg): 101.96 101.96 59.95
Fractional coordinates of all 24 atoms:
Y1 0.042 0.881 0.619
Y2 0.119 0.958 0.881
Y3 0.881 0.042 0.119
Y4 0.958 0.119 0.381
Zn1 0.089 0.406 0.753
Zn2 0.406 0.089 0.253
Zn3 0.426 0.574 0.250
Zn4 0.574 0.426 0.750
Zn5 0.594 0.911 0.747
Zn6 0.911 0.594 0.247
W1 0.194 0.346 0.078
W2 0.290 0.488 0.422
W3 0.346 0.194 0.578
W4 0.488 0.290 0.922
W5 0.512 0.710 0.078
W6 0.654 0.806 0.422
W7 0.710 0.512 0.578
W8 0.806 0.654 0.922
C1 0.000 0.500 0.500
C2 0.173 0.654 0.000
C3 0.346 0.827 0.500
C4 0.500 0.000 0.000
C5 0.654 0.173 0.500
C6 0.827 0.346 0.000



[20]
# SmBi2

SmBi2 after structural relaxation (PBE, OQMD via LeMat-Bulk).

## Properties
Total magnetic moment (μB per cell): 1.0
DFT total energy (eV per atom): -4.42
Space group: Fd-3m (227)

a b c (Å): 6.488 6.488 6.488
angles (deg): 60.00 60.00 60.00
Fractional coordinates of all 6 atoms:
Sm1 0.125 0.125 0.125
Sm2 0.875 0.875 0.875
Bi1 0.000 0.500 0.500
Bi2 0.500 0.000 0.500
Bi3 0.500 0.500 0.000
Bi4 0.500 0.500 0.500